[1]
First-principles (PBE) data for a relaxed Zn3CoTe crystal, as listed in Alexandria.

Cell and atoms, written as POSCAR:
```
Zn3CoTe
1.0
4.6456 0.0000 0.0000
0.0000 4.6456 0.0000
0.0000 0.0000 4.6456
Zn Co Te
3 1 1
Direct
0.0000 0.0000 0.5000
0.0000 0.5000 0.0000
0.5000 0.0000 0.0000
0.0000 0.0000 0.0000
0.5000 0.5000 0.5000
```

## Properties
Distance to the lowest polymorph of the same formula, meV/atom: 0.0
Symmetry: No. 221
Energy relative to the elements, uncorrected, kcal/mol of atoms: 9.6
Magnetic moment, μB/f.u.: 0.79



[2]
First-principles (PBE) data for a relaxed Zn2Co2Te crystal, as listed in Alexandria.

Cell and atoms, written as POSCAR:
```
Zn2Co2Te
1.0
6.4476 0.0000 0.0000
0.0000 6.4476 0.0000
0.0000 0.0000 3.6598
Zn Co Te
4 4 2
Direct
0.1450 0.3550 0.0000
0.3550 0.8550 0.0000
0.6450 0.1450 0.0000
0.8550 0.6450 0.0000
0.1431 0.6431 0.5000
0.3569 0.1431 0.5000
0.6431 0.8569 0.5000
0.8569 0.3569 0.5000
0.0000 0.0000 0.5000
0.5000 0.5000 0.5000
```

## Properties
Symmetry: No. 127
Energy relative to the elements, uncorrected, kcal/mol of atoms: 4.0
Magnetic moment, μB/f.u.: 1.80



[3]
First-principles (PBE) data for a relaxed Zn2CoTe crystal, as listed in Alexandria.

Cell and atoms, written as POSCAR:
```
Zn2CoTe
1.0
1.5123 0.8731 9.4619
-1.5123 0.8731 9.4619
0.0000 -1.7463 9.4619
Zn Co Te
2 1 1
Direct
0.2288 0.2288 0.2288
0.7712 0.7712 0.7712
0.5000 0.5000 0.5000
0.0000 0.0000 0.0000
```

## Properties
Symmetry: No. 166
Energy relative to the elements, uncorrected, kcal/mol of atoms: 7.8
Magnetic moment, μB/f.u.: 1.04



[4]
First-principles (PBE) data for a relaxed ZnCoTe3 crystal, as listed in Alexandria.

Cell and atoms, written as POSCAR:
```
ZnCoTe3
1.0
5.0707 0.0000 0.0000
0.0000 5.0707 0.0000
0.0000 0.0000 5.0707
Zn Co Te
1 1 3
Direct
0.0000 0.0000 0.0000
0.5000 0.5000 0.5000
0.0000 0.5000 0.5000
0.5000 0.0000 0.5000
0.5000 0.5000 0.0000
```

## Properties
Distance to the lowest polymorph of the same formula, meV/atom: 0.0
Symmetry: No. 221
Energy relative to the elements, uncorrected, kcal/mol of atoms: 10.3
Magnetic moment, μB/f.u.: 1.02